No. 1
{"formula": "SrLa2", "functional": "GGA-PBE", "state": "relaxed", "lattice": [[6.958, -1.929, 0.000], [6.958, 1.929, 0.000], [-3.479, 0.000, 9.370]], "species": ["Sr", "Sr", "La", "La", "La", "La"], "frac_coords": [[0.160, 0.160, 0.128], [0.840, 0.840, 0.872], [0.142, 0.142, 0.515], [0.449, 0.449, 0.248], [0.551, 0.551, 0.752], [0.858, 0.858, 0.485]], "dft_energy_ev_per_atom": -3.748, "delta_e_f_ev_per_atom": 0.098, "e_above_lowest_polymorph_ev_per_atom": 0.028, "magmom_total_mub_per_cell": 0.00, "space_group": "C2/m, No. 12"}



No. 2
{"formula": "Sr8La", "functional": "GGA-PBE", "state": "relaxed", "lattice": [[-6.206, 6.206, 3.029], [6.206, -6.206, 3.029], [6.206, 6.206, -3.029]], "species": ["Sr", "Sr", "Sr", "Sr", "Sr", "Sr", "Sr", "Sr", "La"], "frac_coords": [[0.000, 0.329, 0.329], [0.000, 0.671, 0.671], [0.329, 0.000, 0.329], [0.338, 0.338, 0.676], [0.338, 0.662, 0.000], [0.662, 0.338, 0.000], [0.662, 0.662, 0.324], [0.671, 0.000, 0.671], [0.000, 0.000, 0.000]], "dft_energy_ev_per_atom": -1.975, "delta_e_f_ev_per_atom": 0.068, "magmom_total_mub_per_cell": 1.20, "space_group": "I4/mmm, No. 139"}



No. 3
{"formula": "Sr3La5", "functional": "GGA-PBE", "state": "relaxed", "lattice": [[10.954, 0.000, 0.000], [-5.477, 9.487, 0.000], [0.000, 0.000, 6.550]], "species": ["Sr", "Sr", "Sr", "Sr", "Sr", "Sr", "La", "La", "La", "La", "La", "La", "La", "La", "La", "La"], "frac_coords": [[0.000, 0.394, 0.250], [0.000, 0.606, 0.750], [0.394, 0.000, 0.250], [0.394, 0.394, 0.750], [0.606, 0.000, 0.750], [0.606, 0.606, 0.250], [0.000, 0.206, 0.750], [0.000, 0.794, 0.250], [0.206, 0.000, 0.750], [0.206, 0.206, 0.250], [0.333, 0.667, 0.000], [0.333, 0.667, 0.500], [0.667, 0.333, 0.000], [0.667, 0.333, 0.500], [0.794, 0.000, 0.250], [0.794, 0.794, 0.750]], "dft_energy_ev_per_atom": -3.416, "delta_e_f_ev_per_atom": 0.294, "e_above_lowest_polymorph_ev_per_atom": 0.132, "magmom_total_mub_per_cell": 0.00, "space_group": "P6_3/mcm, No. 193"}